# 1
Here is a relaxed structure of Dy5HfHg6 from Alexandria. Energies are from GGA-PBE.

Lattice parameters (Å, degrees): 9.0060 9.0060 5.1847 106.58 106.58 48.45
Sites, in units of the cell vectors:
Dy 0.0000 0.0000 0.0000
Dy 0.1659 0.1659 0.6661
Dy 0.3319 0.3319 0.3313
Dy 0.6681 0.6681 0.6687
Dy 0.8341 0.8341 0.3339
Hf 0.5000 0.5000 0.0000
Hg 0.0950 0.5805 0.8372
Hg 0.2631 0.7369 0.5000
Hg 0.4195 0.9050 0.1628
Hg 0.5805 0.0950 0.8372
Hg 0.7369 0.2631 0.5000
Hg 0.9050 0.4195 0.1628

Results
The final energy is -39.239 eV per cell. Its formation energy is -0.372 eV per atom.

---

# 2
Here is a relaxed structure of Dy2HfHg from Alexandria. Energies are from GGA-PBE.

Lattice parameters (Å, degrees): 11.6871 11.6871 11.6871 16.21 16.21 16.21
Sites, in units of the cell vectors:
Dy 0.0921 0.0921 0.0921
Dy 0.9079 0.9079 0.9079
Hf 0.0000 0.0000 0.0000
Hg 0.5000 0.5000 0.5000

Results
Its energy relative to the lowest polymorph listed for this composition is 0.436 eV per atom. The final energy is -18.380 eV per cell. Its formation energy is 0.270 eV per atom.

---

# 3
Here is a relaxed structure of DyHfHgIr from Alexandria. Energies are from GGA-PBE.

Lattice parameters (Å, degrees): 4.9049 4.9049 4.9049 60.00 60.00 60.00
Sites, in units of the cell vectors:
Dy 0.0000 0.0000 0.0000
Hf 0.5000 0.5000 0.5000
Hg 0.7500 0.7500 0.7500
Ir 0.2500 0.2500 0.2500

Results
The final energy is -25.414 eV per cell. Its formation energy is -0.424 eV per atom.

---

# 4
Here is a relaxed structure of DyHfHgPb from Alexandria. Energies are from GGA-PBE.

Lattice parameters (Å, degrees): 5.1774 5.1774 5.1774 60.00 60.00 60.00
Sites, in units of the cell vectors:
Dy 0.0000 0.0000 0.0000
Hf 0.5000 0.5000 0.5000
Hg 0.2500 0.2500 0.2500
Pb 0.7500 0.7500 0.7500

Results
The final energy is -18.991 eV per cell. Its formation energy is -0.106 eV per atom.

---

Which of these has the highest final energy? Dy2HfHg

---

Number 2 is which compound? Dy2HfHg

---

The highest final energy belongs to which entry? Dy2HfHg

---

What did the first record say?
Here is a relaxed structure of Dy5HfHg6 from Alexandria. Energies are from GGA-PBE.

Lattice parameters (Å, degrees): 9.0060 9.0060 5.1847 106.58 106.58 48.45
Sites, in units of the cell vectors:
Dy 0.0000 0.0000 0.0000
Dy 0.1659 0.1659 0.6661
Dy 0.3319 0.3319 0.3313
Dy 0.6681 0.6681 0.6687
Dy 0.8341 0.8341 0.3339
Hf 0.5000 0.5000 0.0000
Hg 0.0950 0.5805 0.8372
Hg 0.2631 0.7369 0.5000
Hg 0.4195 0.9050 0.1628
Hg 0.5805 0.0950 0.8372
Hg 0.7369 0.2631 0.5000
Hg 0.9050 0.4195 0.1628

Results
The final energy is -39.239 eV per cell. Its formation energy is -0.372 eV per atom.